SeBr2F, optimized geometry, DFT PBE-GGA; magnetization = 0.0000 μB/atom; calculated total energy = -2.0866 eV/atom; symmetry = R-3m; formation energy from raw total energies = 0.4 eV per formula unit; offset from the most stable computed form = 0.000 eV/atom
1.0
-4.0704 -6.3291 3.3784
-0.3558 -6.7613 4.7114
-2.8239 -4.2185 6.5015
F Br Se
1 2 1
Direct
0.0000 0.0000 0.0000 F
0.0957 0.0957 0.0957 Br
0.9043 0.9043 0.9043 Br
0.5000 0.5000 0.5000 Se